Record 1
## DyZrHg4 (GGA-PBE)

Data for a relaxed DyZrHg4 crystal.

Calculated values
Polymorph energy (0 for the lowest one)   22.3 meV/atom
DOS(E_F)   0.66 states/eV per atom

abc: 3.5379 5.1608 7.8545
angles: 90.00 76.93 90.00
With the nearest neighbours (Å) after each atom.
Fractional positions:
1 Zr 0.8618 0.9972 0.5290  10 Hg 3.05-3.22
2 Hg 0.9729 0.4972 0.3039  6 Hg 3.03-3.22, 2 Zr 3.10, 2 Dy 3.13
3 Dy 0.6416 0.4974 0.9668  10 Hg 3.13-3.24
4 Hg 0.1960 0.9974 0.8601  2 Zr 3.09, 4 Hg 3.14-3.17, 4 Dy 3.23-3.24
5 Hg 0.3114 0.4972 0.6257  4 Hg 3.03-3.14, 2 Dy 3.15-3.16, 4 Zr 3.21-3.22
6 Hg 0.5241 0.9973 0.2034  2 Zr 3.05-3.06, 2 Dy 3.15, 6 Hg 3.17-3.22

Record 2
## DyZrHg (GGA-PBE)

Data for a relaxed DyZrHg crystal.

Calculated values
Polymorph energy (0 for the lowest one)   126.2 meV/atom
DOS(E_F)   0.66 states/eV per atom

abc: 5.0768 5.0768 6.6597
angles: 90.00 90.00 120.00
With the nearest neighbours (Å) after each atom.
Fractional positions:
1 Dy 0.0000 0.0000 0.7446  3 Hg 3.14, 6 Zr 3.22-3.51, 2 Dy 3.26-3.40
2 Hg 0.6667 0.3333 0.0881  1 Zr 3.04, 3 Dy 3.14, 3 Hg 3.16
3 Hg 0.3333 0.6667 0.9119  1 Zr 3.04, 3 Dy 3.14, 3 Hg 3.16
4 Dy 0.0000 0.0000 0.2554  3 Hg 3.14, 6 Zr 3.22-3.51, 2 Dy 3.26-3.40
5 Zr 0.3333 0.6667 0.4552  3 Zr 2.99, 1 Hg 3.04, 3 Dy 3.22
6 Zr 0.6667 0.3333 0.5448  3 Zr 2.99, 1 Hg 3.04, 3 Dy 3.22

no.,calculated formation energy (eV per atom)
1,-0.179
2,-0.078